[1]
{"formula": "MgTi2As", "functional": "PBE", "state": "relaxed", "lattice": [[0.000, 3.232, 3.232], [3.232, 0.000, 3.232], [3.232, 3.232, 0.000]], "species": ["Mg", "Ti", "Ti", "As"], "frac_coords": [[0.000, 0.000, 0.000], [0.250, 0.250, 0.250], [0.750, 0.750, 0.750], [0.500, 0.500, 0.500]], "e_form_ev_per_atom": -0.06, "de_polymorph_ev_per_fu": 0.040, "sg": "Fm-3m", "volume_a3_per_atom": 16.9, "dos_at_fermi_per_ev_cell": 3.9}

***

[2]
{"formula": "MgTi2As", "functional": "PBE", "state": "relaxed", "lattice": [[-3.672, 3.672, 2.759], [3.672, -3.672, 2.759], [3.672, 3.672, -2.759]], "species": ["Mg", "Mg", "Ti", "Ti", "Ti", "Ti", "As", "As"], "frac_coords": [[0.000, 0.000, 0.000], [0.750, 0.250, 0.500], [0.156, 0.625, 0.031], [0.375, 0.406, 0.531], [0.594, 0.125, 0.969], [0.875, 0.844, 0.469], [0.250, 0.750, 0.500], [0.500, 0.500, 0.000]], "e_form_ev_per_atom": -0.07, "de_polymorph_ev_per_fu": 0.000, "sg": "I-42d", "volume_a3_per_atom": 18.6, "dos_at_fermi_per_ev_cell": 7.9}

***

> Which formula does entry 1 have?

MgTi2As